<w>
Below is a relaxed structure of Sr2RhCl, with properties calculated at the PBE level.

Cell lengths 5.2584, 5.2584, 5.2584 Å; angles 60.00, 60.00, 60.00 degrees
Last column: nearest neighbours and their distance in Å.
Fractional coordinates of all 4 atoms:
Sr 0.0000 0.0000 0.0000  4 Cl 3.22, 4 Sr 3.22
Sr 0.2500 0.2500 0.2500  4 Rh 3.22, 4 Sr 3.22
Rh 0.5000 0.5000 0.5000  4 Cl 3.22, 4 Sr 3.22
Cl 0.7500 0.7500 0.7500  4 Rh 3.22, 4 Sr 3.22

Calculated values
total magnetization = 0.00 μB per formula unit

<x>
Below is a relaxed structure of Sr2RhCl, with properties calculated at the PBE level.

Cell lengths 8.3631, 8.3631, 8.3631 Å; angles 154.30, 152.84, 37.74 degrees
Last column: nearest neighbours and their distance in Å.
Fractional coordinates of all 4 atoms:
Sr 0.0000 0.0000 0.0000  2 Rh 2.88, 4 Cl 3.21
Sr 0.7769 0.2769 0.5000  4 Rh 3.06, 2 Cl 3.24
Rh 0.3667 0.8667 0.5000  6 Sr 2.88-3.06
Cl 0.6096 0.6096 0.0000  6 Sr 3.21-3.24

Calculated values
total magnetization = 0.00 μB per formula unit

Verdict on stability: <w> comes out at the bottom.

<w>
Below is a relaxed structure of ScNi2Os, with properties calculated at the PBE level.

Cell lengths 4.3041, 4.3041, 4.3041 Å; angles 60.00, 60.00, 60.00 degrees
Last column: nearest neighbours and their distance in Å.
Fractional coordinates of all 4 atoms:
Sc 0.0000 0.0000 0.0000  4 Os 2.64, 4 Ni 2.64
Ni 0.2500 0.2500 0.2500  4 Ni 2.64, 4 Sc 2.64
Ni 0.5000 0.5000 0.5000  4 Os 2.64, 4 Ni 2.64
Os 0.7500 0.7500 0.7500  4 Ni 2.64, 4 Sc 2.64

Calculated values
total magnetization = 2.20 μB per formula unit

<x>
Below is a relaxed structure of ScNi2Os, with properties calculated at the PBE level.

Cell lengths 3.8755, 3.8755, 3.6569 Å; angles 90.00, 90.00, 90.00 degrees
Last column: nearest neighbours and their distance in Å.
Fractional coordinates of all 4 atoms:
Sc 0.0000 0.0000 0.0000  8 Ni 2.66, 4 Os 2.74
Ni 0.0000 0.5000 0.5000  4 Sc 2.66, 4 Os 2.66, 4 Ni 2.74
Ni 0.5000 0.0000 0.5000  4 Sc 2.66, 4 Os 2.66, 4 Ni 2.74
Os 0.5000 0.5000 0.0000  8 Ni 2.66, 4 Sc 2.74

Calculated values
total magnetization = 0.62 μB per formula unit

Verdict on stability: <w> comes out at the bottom.

<w>
Below is a relaxed structure of Na3TlSe, with properties calculated at the PBE level.

Cell lengths 5.6929, 5.6929, 5.6929 Å; angles 90.00, 90.00, 90.00 degrees
Last column: nearest neighbours and their distance in Å.
Fractional coordinates of all 5 atoms:
Na 0.0000 0.0000 0.5000  2 Tl 2.85
Na 0.0000 0.5000 0.0000  2 Tl 2.85
Na 0.5000 0.0000 0.0000  2 Tl 2.85
Tl 0.0000 0.0000 0.0000  6 Na 2.85
Se 0.5000 0.5000 0.5000  12 Na 4.03

Calculated values
total magnetization = 0.00 μB per formula unit

<x>
Below is a relaxed structure of Na3TlSe, with properties calculated at the PBE level.

Cell lengths 5.5473, 5.5473, 5.5473 Å; angles 90.00, 90.00, 90.00 degrees
Last column: nearest neighbours and their distance in Å.
Fractional coordinates of all 5 atoms:
Na 0.0000 0.0000 0.5000  2 Se 2.77
Na 0.0000 0.5000 0.0000  2 Se 2.77
Na 0.5000 0.0000 0.0000  2 Se 2.77
Tl 0.5000 0.5000 0.5000  12 Na 3.92
Se 0.0000 0.0000 0.0000  6 Na 2.77

Calculated values
total magnetization = 0.00 μB per formula unit

Verdict on stability: <w> comes out at the bottom.

<w>
Below is a relaxed structure of NiRuPt2, with properties calculated at the PBE level.

Cell lengths 2.7274, 2.7274, 7.5740 Å; angles 90.00, 90.00, 90.00 degrees
Last column: nearest neighbours and their distance in Å.
Fractional coordinates of all 4 atoms:
Ni 0.0000 0.0000 0.0000  4 Ru 2.56, 4 Pt 2.66, 4 Ni 2.73
Ru 0.5000 0.5000 0.7783  4 Ni 2.56, 4 Ru 2.73, 4 Pt 2.74
Pt 0.0000 0.0000 0.5215  8 Pt 2.73-2.87, 4 Ru 2.74
Pt 0.5000 0.5000 0.2414  4 Ni 2.66, 8 Pt 2.73-2.87

Calculated values
total magnetization = 0.20 μB per formula unit

<x>
Below is a relaxed structure of NiRuPt2, with properties calculated at the PBE level.

Cell lengths 2.7428, 2.7428, 7.4966 Å; angles 90.00, 90.00, 90.00 degrees
Last column: nearest neighbours and their distance in Å.
Fractional coordinates of all 4 atoms:
Ni 0.0000 0.0000 0.0000  8 Pt 2.66, 4 Ni 2.74
Ru 0.0000 0.0000 0.5000  8 Pt 2.73, 4 Ru 2.74
Pt 0.5000 0.5000 0.2434  4 Ni 2.66, 4 Ru 2.73, 4 Pt 2.74
Pt 0.5000 0.5000 0.7566  4 Ni 2.66, 4 Ru 2.73, 4 Pt 2.74

Calculated values
total magnetization = 0.74 μB per formula unit

Verdict on stability: <w> comes out at the bottom.

<w>
Below is a relaxed structure of AcYPt, with properties calculated at the PBE level.

Cell lengths 5.1166, 5.1166, 5.1166 Å; angles 60.00, 60.00, 60.00 degrees
Last column: nearest neighbours and their distance in Å.
Fractional coordinates of all 3 atoms:
Ac 0.0000 0.0000 0.0000  4 Pt 3.13
Y 0.5000 0.5000 0.5000  4 Pt 3.13
Pt 0.7500 0.7500 0.7500  4 Ac 3.13, 4 Y 3.13

Calculated values
total magnetization = 0.00 μB per formula unit

<x>
Below is a relaxed structure of AcYPt, with properties calculated at the PBE level.

Cell lengths 6.5905, 6.5905, 7.2356 Å; angles 90.00, 90.00, 144.18 degrees
Last column: nearest neighbours and their distance in Å.
Fractional coordinates of all 6 atoms:
Ac 0.0000 0.0000 0.0000  4 Pt 3.13
Ac 0.0000 0.0000 0.5000  4 Pt 3.13
Y 0.2790 0.7210 0.7500  2 Pt 2.81
Y 0.7210 0.2790 0.2500  2 Pt 2.81
Pt 0.3760 0.6240 0.2500  2 Y 2.81, 4 Ac 3.13
Pt 0.6240 0.3760 0.7500  2 Y 2.81, 4 Ac 3.13

Calculated values
total magnetization = 0.00 μB per formula unit

Verdict on stability: <w> comes out at the bottom.

<w>
Below is a relaxed structure of In2PbBr, with properties calculated at the PBE level.

Cell lengths 7.1060, 7.1060, 7.1060 Å; angles 150.76, 136.36, 53.40 degrees
Last column: nearest neighbours and their distance in Å.
Fractional coordinates of all 4 atoms:
In 0.2253 0.2253 0.0000  6 In 3.25-3.59, 2 Pb 3.38
In 0.7747 0.7747 0.0000  6 In 3.25-3.59, 2 Pb 3.38
Pb 0.0000 0.5000 0.5000  4 Br 3.19, 4 In 3.38
Br 0.5000 0.0000 0.5000  4 Pb 3.19

Calculated values
total magnetization = 0.00 μB per formula unit

<x>
Below is a relaxed structure of In2PbBr, with properties calculated at the PBE level.

Cell lengths 6.5083, 6.5083, 6.5083 Å; angles 138.06, 138.06, 60.82 degrees
Last column: nearest neighbours and their distance in Å.
Fractional coordinates of all 4 atoms:
In 0.0000 0.0000 0.0000  4 Br 3.29, 4 In 3.65, 4 Pb 3.65
In 0.7500 0.2500 0.5000  4 Pb 3.29, 4 In 3.65, 4 Br 3.65
Pb 0.2500 0.7500 0.5000  8 In 3.29-3.65, 4 Br 3.65
Br 0.5000 0.5000 0.0000  8 In 3.29-3.65, 4 Pb 3.65

Calculated values
total magnetization = 0.00 μB per formula unit

Verdict on stability: <x> comes out at the bottom.

<w>
Below is a relaxed structure of AgWSe, with properties calculated at the PBE level.

Cell lengths 6.8771, 6.8771, 6.8771 Å; angles 154.70, 154.70, 36.08 degrees
Last column: nearest neighbours and their distance in Å.
Fractional coordinates of all 3 atoms:
Ag 0.0000 0.0000 0.0000  4 W 2.91, 4 Ag 3.01
W 0.6518 0.6518 0.0000  4 Se 2.61, 4 Ag 2.91
Se 0.2665 0.2665 0.0000  4 W 2.61

Calculated values
total magnetization = 0.00 μB per formula unit

<x>
Below is a relaxed structure of AgWSe, with properties calculated at the PBE level.

Cell lengths 7.8260, 7.6178, 2.8978 Å; angles 83.26, 75.17, 21.58 degrees
Last column: nearest neighbours and their distance in Å.
Fractional coordinates of all 3 atoms:
Ag 0.0000 0.0000 0.0000  2 W 2.86, 4 Ag 2.90
W 0.3410 0.3410 0.6590  2 Se 2.54
Se 0.7094 0.7094 0.2906  2 W 2.54

Calculated values
total magnetization = 0.00 μB per formula unit

Verdict on stability: <x> comes out at the bottom.